Here is a geometry-optimized MnCu2As structure from Alexandria. Energies are from PBE.

Computed properties:
- D(E_F) (states/eV/f.u.) = 1.76
- E_tot (eV/atom) = -5.3570
- calculated formation energy (eV/atom) = 0.15
- magnetic moment (μB per formula unit) = 3.40

Cell: 4.4715 4.4715 3.0024 Å, 90.00 90.00 111.68°
Closest atoms and distances in Å follow each position.
Atoms (fractional coordinates):
Cu 0.5000 0.5000 0.0000  2 Cu 2.51, 4 As 2.69, 4 Mn 2.69
Cu 0.0000 0.0000 0.0000  2 Cu 2.51, 4 Mn 2.69, 4 As 2.69
As 0.0000 0.5000 0.5000  2 Mn 2.51, 8 Cu 2.69
Mn 0.5000 0.0000 0.5000  2 As 2.51, 8 Cu 2.69